Entry 1:
15
Lattice="-6.7756 -2.6192 -4.7512 -4.2950 -7.0435 2.6994 -7.9240 1.1821 3.3402" Properties=species:S:1:pos:R:3 comment="Sm8Tm6Th | Alexandria via LeMat-Bulk | PBE | optimized geometry" sg="R-3 (148)" e_form_ev_per_atom=0.13 energy_ev_per_atom=-4.6720 pbc="T T T"
Sm -9.8456 -4.4472 3.9172
Sm -7.7035 -6.5398 2.1842
Sm -9.9881 -1.4104 2.2653
Sm -10.9786 -4.9016 0.7447
Sm -8.0160 -3.5789 0.5437
Sm -9.0064 -7.0701 -0.9769
Sm -11.2911 -1.9408 -0.8958
Sm -9.1490 -4.0334 -2.6288
Tm -14.0801 -4.7497 -0.5332
Tm -6.3372 -0.6890 0.8686
Tm -5.4529 -3.0383 -1.5572
Tm -13.5417 -5.4423 2.8456
Tm -12.6574 -7.7916 0.4198
Tm -4.9144 -3.7309 1.8216
Th 0.0000 0.0000 0.0000

=====

Entry 2:
11
Lattice="5.5992 -0.5425 -0.3789 0.7045 9.6978 2.4752 0.7045 5.6614 8.2536" Properties=species:S:1:pos:R:3 comment="La2Dy8Tm | Alexandria via LeMat-Bulk | PBE | optimized geometry" sg="C2/m (12)" e_form_ev_per_atom=0.18 energy_ev_per_atom=-4.4663 de_polymorph_mev_per_atom=154.2 pbc="T T T"
La 4.5634 3.9559 2.7633
La 2.4449 10.8608 7.5865
Dy 2.0047 4.6456 5.2491
Dy 2.0047 6.5272 2.5554
Dy 5.0036 10.1711 5.1007
Dy 2.0889 8.2329 5.7509
Dy 5.0036 8.2895 7.7944
Dy 1.5569 2.6710 1.8658
Dy 5.4514 12.1457 8.4841
Dy 4.9194 6.5838 4.5989
Tm 0.0000 0.0000 0.0000

=====

Entry 3:
4
Lattice="4.4069 0.0000 0.0000 0.0000 4.5530 0.0000 0.0000 0.0000 4.5530" Properties=species:S:1:pos:R:3 comment="UAlSn2 | Alexandria via LeMat-Bulk | PBE | optimized geometry" sg="P4/mmm (123)" e_form_ev_per_atom=-0.12 energy_ev_per_atom=-5.8829 pbc="T T T"
U 2.2034 2.2765 2.2765
Sn 0.0000 0.0000 2.2765
Sn 0.0000 2.2765 0.0000
Al 2.2034 0.0000 0.0000

=====

Entry 4:
5
Lattice="-2.2311 -3.1893 3.9974 5.0859 -0.9287 2.0977 -0.5546 4.6581 3.4069" Properties=species:S:1:pos:R:3 comment="CaInSb2Te | Alexandria via LeMat-Bulk | PBE | optimized geometry" sg="P4/mmm (123)" energy_ev_per_atom=-3.0788 de_polymorph_mev_per_atom=0.0 pbc="T T T"
Sb 2.5430 -0.4644 1.0488
Sb -1.1156 -1.5947 1.9987
Ca 1.1501 0.2700 4.7510
Te -0.2773 2.3291 1.7035
In 0.0000 0.0000 0.0000

=====

Entry 5:
14
Lattice="7.2505 0.0000 0.0000 0.0000 7.2505 0.0000 0.0000 0.0000 7.2505" Properties=species:S:1:pos:R:3 comment="NdSn3Pd3 | Alexandria via LeMat-Bulk | PBE | optimized geometry" sg="Pm-3n (223)" e_form_ev_per_atom=-0.20 energy_ev_per_atom=-4.8252 de_polymorph_mev_per_atom=330.3 pbc="T T T"
Nd 3.6252 3.6252 3.6252
Nd 0.0000 0.0000 0.0000
Sn 1.8126 0.0000 3.6252
Sn 0.0000 3.6252 1.8126
Sn 3.6252 5.4378 0.0000
Sn 5.4378 0.0000 3.6252
Sn 0.0000 3.6252 5.4378
Sn 3.6252 1.8126 0.0000
Pd 0.0000 1.8126 3.6252
Pd 0.0000 5.4378 3.6252
Pd 3.6252 0.0000 5.4378
Pd 5.4378 3.6252 0.0000
Pd 3.6252 0.0000 1.8126
Pd 1.8126 3.6252 0.0000

=====

Entry 6:
10
Lattice="5.8315 0.0000 0.0000 0.0000 5.8315 0.0000 0.0000 0.0000 2.6643" Properties=species:S:1:pos:R:3 comment="Cr2H2Pd | Alexandria via LeMat-Bulk | PBE | optimized geometry" sg="P4/mbm (127)" energy_ev_per_atom=-5.9661 de_polymorph_mev_per_atom=114.8 pbc="T T T"
Cr 0.7130 3.6288 1.3322
Cr 3.6288 5.1185 1.3322
Cr 5.1185 2.2027 1.3322
Cr 2.2027 0.7130 1.3322
Pd 0.0000 0.0000 0.0000
Pd 2.9158 2.9158 0.0000
H 2.1750 5.0908 0.0000
H 5.0908 3.6565 0.0000
H 3.6565 0.7407 0.0000
H 0.7407 2.1750 0.0000

=====

Entry 7:
12
Lattice="4.1026 0.0000 0.0000 0.0000 4.1026 0.0000 0.0000 0.0000 12.4429" Properties=species:S:1:pos:R:3 comment="MgAl2Ag9 | Alexandria via LeMat-Bulk | PBE | optimized geometry" sg="P4/mmm (123)" e_form_ev_per_atom=-0.07 energy_ev_per_atom=-2.9621 pbc="T T T"
Mg 0.0000 0.0000 0.0000
Al 0.0000 0.0000 4.1725
Al 0.0000 0.0000 8.2704
Ag 2.0513 2.0513 0.0000
Ag 2.0513 2.0513 4.1851
Ag 2.0513 2.0513 8.2578
Ag 2.0513 0.0000 2.1273
Ag 2.0513 0.0000 6.2215
Ag 2.0513 0.0000 10.3156
Ag 0.0000 2.0513 2.1273
Ag 0.0000 2.0513 6.2215
Ag 0.0000 2.0513 10.3156

=====

Entry 8:
18
Lattice="7.5293 0.0000 0.0000 0.0000 7.9102 0.0000 -3.7646 -3.9551 5.3937" Properties=species:S:1:pos:R:3 comment="RbPuHfO6 | Alexandria via LeMat-Bulk | PBE | optimized geometry" sg="Imma (74)" energy_ev_per_atom=-8.7390 pbc="T T T"
Rb 3.7646 1.9775 4.3218
Rb 0.0000 1.9775 1.0719
Pu 3.7646 3.9551 0.0000
Pu 3.7646 0.0000 0.0000
Hf 1.8823 -1.9775 2.6969
Hf -1.8823 -1.9775 2.6969
O 0.0000 1.9775 4.6616
O 3.7646 -1.9775 3.4305
O 5.1628 -0.4550 1.3063
O 2.3665 4.4101 1.3063
O 2.3665 -0.4550 1.3063
O 5.1628 4.4101 1.3063
O 3.7646 1.9775 0.7321
O 0.0000 5.9326 1.9633
O -1.3981 4.4101 4.0875
O 1.3981 -0.4550 4.0875
O 1.3981 4.4101 4.0875
O -1.3981 -0.4550 4.0875

=====

Entry 9:
13
Lattice="-3.4295 -4.3490 -1.3955 2.0517 -3.5156 5.9140 -4.8491 6.1932 1.0060" Properties=species:S:1:pos:R:3 comment="Pm2Hg3Pd8 | Alexandria via LeMat-Bulk | PBE | optimized geometry" sg="C2/m (12)" e_form_ev_per_atom=-0.29 energy_ev_per_atom=-4.2903 pbc="T T T"
Pm -3.4536 1.7585 2.2435
Pm -2.7734 -3.4299 3.2810
Hg -1.7148 -2.1745 -0.6977
Hg 0.5746 -0.9845 1.6562
Hg 1.4771 -2.5310 4.2577
Pd -1.1503 -1.0276 4.1460
Pd -5.0766 -0.6438 1.3785
Pd -4.3075 -2.8187 -0.1812
Pd -1.9194 1.1473 5.7057
Pd -3.9781 -0.5832 3.7961
Pd -5.2788 1.6455 0.0469
Pd -0.9481 -3.3169 5.4776
Pd -2.2488 -1.0882 1.7284

=====

Entry 10:
3
Lattice="4.3451 0.0000 0.0000 2.1725 3.7629 0.0000 2.1725 1.2543 3.5477" Properties=species:S:1:pos:R:3 comment="AlRhBr | Alexandria via LeMat-Bulk | PBE | optimized geometry" sg="F-43m (216)" energy_ev_per_atom=-4.2808 de_polymorph_mev_per_atom=255.6 pbc="T T T"
Rh 6.5176 3.7629 2.6608
Al 0.0000 0.0000 0.0000
Br 4.3451 2.5086 1.7739

=====

Entry 11:
12
Lattice="-0.0768 2.1800 4.2471 -7.0337 -0.8654 0.3171 0.8762 -5.9895 3.0902" Properties=species:S:1:pos:R:3 comment="CeCuRu | Alexandria via LeMat-Bulk | PBE | optimized geometry" sg="Pnma (62)" e_form_ev_per_atom=-0.20 energy_ev_per_atom=-6.6357 de_polymorph_mev_per_atom=84.8 pbc="T T T"
Ru 0.4388 -3.7936 3.2970
Ru -6.6731 -0.8813 4.3573
Ru -3.1690 -1.1888 1.8948
Ru -3.0653 -3.4860 5.7596
Cu -0.5225 -1.5313 2.1184
Cu -5.7118 -3.1436 5.5359
Cu -2.0157 -4.7637 3.7506
Cu -4.2186 0.0888 3.9037
Ce -4.4824 -2.8901 2.7443
Ce -1.7518 -1.7848 4.9101
Ce -4.8390 -5.9826 4.3252
Ce -1.3953 1.3077 3.3291

=====

Entry 12:
8
Lattice="3.4844 0.0000 0.0000 0.0000 6.0310 0.1324 0.0000 -2.0837 5.6430" Properties=species:S:1:pos:R:3 comment="PmHo2NpN4 | Alexandria via LeMat-Bulk | PBE | optimized geometry" sg="P2/m (10)" energy_ev_per_atom=-9.0108 pbc="T T T"
Pm 1.7422 3.0155 0.0662
Ho 1.7422 -1.0419 2.8215
Ho 0.0000 1.9737 2.8877
Np 0.0000 0.0000 0.0000
N 1.7422 0.9266 1.4371
N 1.7422 3.0207 4.3383
N 0.0000 -0.1817 4.2789
N 0.0000 4.1290 1.4964

=====

Entry 13:
10
Lattice="4.8751 0.0000 0.0000 0.0000 8.0180 0.0000 -2.4375 -4.0090 3.3653" Properties=species:S:1:pos:R:3 comment="MgSiNi3 | Alexandria via LeMat-Bulk | PBE | optimized geometry" sg="Imma (74)" energy_ev_per_atom=-5.1294 de_polymorph_mev_per_atom=0.0 pbc="T T T"
Mg 0.0000 -0.0454 1.6826
Mg 2.4375 4.0544 1.6826
Si 0.0000 4.0090 0.0000
Si 2.4375 0.0000 0.0000
Ni 3.6563 2.0045 0.4034
Ni 1.2188 2.0045 0.4034
Ni 1.2188 2.0045 2.9618
Ni -1.2188 2.0045 2.9618
Ni 0.0000 5.4495 1.6826
Ni 2.4375 -1.4405 1.6826

=====

Entry 14:
8
Lattice="6.3612 0.0000 0.0000 0.0000 6.3612 0.0000 3.1806 3.1806 6.0149" Properties=species:S:1:pos:R:3 comment="TaSiSn2 | Alexandria via LeMat-Bulk | PBE | optimized geometry" sg="I-42d (122)" energy_ev_per_atom=-5.3471 de_polymorph_mev_per_atom=273.9 pbc="T T T"
Si 3.1806 3.1806 0.0000
Si 3.1806 6.3612 3.0075
Sn 4.6745 1.5903 1.5037
Sn 1.6866 4.7709 1.5037
Sn 4.7709 4.8672 4.5112
Sn 7.9515 7.8551 4.5112
Ta 0.0000 0.0000 0.0000
Ta 6.3612 3.1806 3.0075

=====

Entry 15:
18
Lattice="6.1828 0.0000 0.0000 0.0000 7.7155 -4.4546 0.0000 0.0011 8.9110" Properties=species:S:1:pos:R:3 comment="Sm3CdAg5 | Alexandria via LeMat-Bulk | PBE | optimized geometry" sg="P6_3/mcm (193)" e_form_ev_per_atom=-0.24 energy_ev_per_atom=-3.4945 pbc="T T T"
Sm 4.6371 2.6875 1.5526
Sm 4.6371 7.7157 1.3526
Sm 4.6371 5.0273 -2.9026
Sm 1.5457 5.0292 2.9037
Sm 1.5457 0.0009 3.1037
Sm 1.5457 2.6882 -1.5521
Cd 0.0000 0.0000 0.0000
Cd 3.0914 0.0000 0.0000
Ag 0.0000 5.1442 0.0008
Ag 3.0914 2.5724 4.4555
Ag 0.0000 2.5724 4.4555
Ag 3.0914 5.1442 0.0008
Ag 4.6371 5.2688 3.0438
Ag 4.6371 7.7150 -1.6285
Ag 4.6371 2.4455 -1.4119
Ag 1.5457 2.4478 1.4126
Ag 1.5457 0.0017 6.0848
Ag 1.5457 5.2700 -3.0427

=====

Entry 16:
8
Lattice="-1.3817 -3.9908 3.7881 -2.3531 -1.6747 -4.8829 5.5986 -0.5214 -0.7665" Properties=species:S:1:pos:R:3 comment="TmGa6Pd | Alexandria via LeMat-Bulk | PBE | optimized geometry" sg="R-3m (166)" e_form_ev_per_atom=-0.35 energy_ev_per_atom=-3.8236 pbc="T T T"
Tm 0.0000 0.0000 0.0000
Ga 2.8553 -1.5246 -0.7271
Ga -0.2174 -3.0515 1.2790
Ga -0.9915 -4.6623 -1.1342
Ga 2.5090 -4.1554 0.6787
Ga 2.0812 -3.1354 -3.1403
Ga -0.6453 -2.0315 -2.5400
Pd 0.9319 -3.0934 -0.9307

=====

Entry 17:
18
Lattice="5.6477 0.0000 0.0000 0.0000 7.6082 0.0000 -2.8238 0.0000 7.7243" Properties=species:S:1:pos:R:3 comment="Sm2Zn3Pt4 | Alexandria via LeMat-Bulk | PBE | optimized geometry" sg="Cmce (64)" e_form_ev_per_atom=-0.87 energy_ev_per_atom=-5.0327 pbc="T T T"
Sm 0.0000 4.4545 1.7258
Sm 2.8238 3.1537 5.9985
Sm 0.0000 0.6504 5.9985
Sm 2.8238 6.9579 1.7258
Zn 0.0000 0.0000 0.0000
Zn 2.8238 3.8041 0.0000
Zn 1.4119 5.7062 4.2019
Zn 4.2358 1.9021 3.5224
Zn 1.4119 1.9021 3.5224
Zn -1.4119 5.7062 4.2019
Pt 1.4119 5.7062 6.8061
Pt 4.2358 1.9021 0.9182
Pt 1.4119 1.9021 0.9182
Pt -1.4119 5.7062 6.8061
Pt 0.0000 7.4143 2.7406
Pt 2.8238 0.1939 4.9837
Pt 0.0000 3.6102 4.9837
Pt 2.8238 3.9981 2.7406

=====

Entry 18:
4
Lattice="5.5228 0.0000 0.0000 0.0000 3.8412 0.0746 0.0000 1.3243 5.0682" Properties=species:S:1:pos:R:3 comment="Y2SeBr | Alexandria via LeMat-Bulk | PBE | optimized geometry" sg="Pm (6)" energy_ev_per_atom=-5.6929 de_polymorph_mev_per_atom=174.2 pbc="T T T"
Br 0.0000 2.6033 2.3871
Se 2.7614 3.8611 4.0397
Y 0.0000 4.5502 4.6469
Y 2.7614 1.8993 1.7834

=====

Entry 19:
12
Lattice="5.4945 0.0000 1.6352 2.5039 4.8908 1.6352 0.1816 0.1110 9.4383" Properties=species:S:1:pos:R:3 comment="SrPm2Al9 | Alexandria via LeMat-Bulk | PBE | optimized geometry" sg="R-3m (166)" e_form_ev_per_atom=-0.34 energy_ev_per_atom=-4.0758 pbc="T T T"
Sr 0.0000 0.0000 0.0000
Pm 6.9423 4.2450 6.8191
Pm 1.2377 0.7568 5.8897
Al 5.3148 3.2499 2.2390
Al 2.8652 1.7520 10.4698
Al 4.0900 2.5009 6.3544
Al 3.3406 2.0427 3.7209
Al 6.1574 2.0427 4.5592
Al 4.6243 4.5500 4.5592
Al 4.8394 2.9591 8.9879
Al 3.5557 0.4518 8.1496
Al 2.0226 2.9591 8.1496